Entry 1:
A geometry-optimized In2TeS6 structure. Source: the Alexandria database, functional GGA-PBE.

Results
The space group is C2/m. Its total energy is -3.90 eV/atom. For the formation energy from raw total energies, the calculation gives -0.1938 eV per atom. Its calculated volume is 254.5 Å³ per cell.

Geometry as extended XYZ:
```
9
Lattice="3.740 0.000 0.683 1.717 6.600 1.179 0.020 1.236 10.477" Properties=species:S:1:pos:R:3 pbc="T T T"
In 4.075 3.208 9.436
In 1.403 4.628 2.903
Te 2.739 3.918 6.170
S 1.917 2.272 10.670
S 3.560 5.564 1.669
S 3.193 2.928 3.680
S 0.745 2.117 6.505
S 2.284 4.908 8.659
S 4.733 5.719 5.834
```

***

Entry 2:
A geometry-optimized Pr2Ni4GeAs3 structure. Source: the Alexandria database, functional GGA-PBE.

Results
The value obtained for the formation energy is -805 meV per atom. The space group is P-4m2. Its total energy is -5.93 eV/atom. Its calculated volume is 169.5 Å³ per cell.

Geometry as extended XYZ:
```
10
Lattice="4.179 0.000 0.000 0.000 4.179 0.000 0.000 0.000 9.704" Properties=species:S:1:pos:R:3 pbc="T T T"
Pr 2.089 0.000 2.394
Pr 0.000 2.089 7.310
Ni 2.089 2.089 0.000
Ni 0.000 0.000 0.000
Ni 2.089 0.000 6.041
Ni 0.000 2.089 3.663
Ge 2.089 2.089 4.852
As 0.000 0.000 4.852
As 2.089 0.000 8.445
As 0.000 2.089 1.259
```